A relaxed Li3NdNb4O12 crystal. Source: Alexandria, functional PBE.

## Properties
Formation energy without anion corrections   -2.57 eV/atom
Final energy   -323.38 eV for the cell shown
Density of states at the Fermi level   10.19 states/eV/cell

abc: 7.7505 7.7505 7.7505
angles: 90.00 90.00 90.00
Space group Im-3 (No. 204)
Symmetry-distinct sites (fractional):
Li  0.0000  0.0000  0.5000
Nd  0.0000  0.0000  0.0000
Nb  0.2500  0.2500  0.2500
O  0.0000  0.2928  0.1838